1.
LaDyPS | PBE | optimized geometry

## Properties
Crystal system: trigonal
Formation energy from raw total energies in meV per atom: -1890
Space group: No. 160

Structure (CIF):
```
data_LaDyPS
_chemical_formula_sum 'La1 Dy1 P1 S1'
_cell_length_a 4.080
_cell_length_b 4.080
_cell_length_c 7.118
_cell_angle_alpha 73.35
_cell_angle_beta 73.35
_cell_angle_gamma 60.00
_symmetry_space_group_name_H-M 'P 1'
_symmetry_Int_Tables_number 1
loop_
_symmetry_equiv_pos_as_xyz
'x,y,z'
loop_
_atom_site_label
_atom_site_fract_x
_atom_site_fract_y
_atom_site_fract_z
La1 0.253 0.253 0.242
Dy1 0.748 0.748 0.757
P1 0.005 0.005 0.984
S1 0.495 0.495 0.516
```



2.
ZrNbCo5 | PBE | optimized geometry

## Properties
Crystal system: orthorhombic
Space group: No. 62
E in eV per atom: -7.9432

Structure (CIF):
```
data_ZrNbCo5
_chemical_formula_sum 'Zr4 Nb4 Co20'
_cell_length_a 4.735
_cell_length_b 7.852
_cell_length_c 9.925
_cell_angle_alpha 90.00
_cell_angle_beta 90.00
_cell_angle_gamma 90.00
_symmetry_space_group_name_H-M 'P 1'
_symmetry_Int_Tables_number 1
loop_
_symmetry_equiv_pos_as_xyz
'x,y,z'
loop_
_atom_site_label
_atom_site_fract_x
_atom_site_fract_y
_atom_site_fract_z
Zr1 0.250 0.257 0.943
Zr2 0.750 0.243 0.443
Zr3 0.250 0.757 0.557
Zr4 0.750 0.743 0.057
Nb1 0.250 0.868 0.856
Nb2 0.750 0.632 0.356
Nb3 0.250 0.368 0.644
Nb4 0.750 0.132 0.144
Co1 0.250 0.592 0.018
Co2 0.750 0.908 0.518
Co3 0.250 0.092 0.482
Co4 0.750 0.408 0.982
Co5 0.750 0.310 0.754
Co6 0.250 0.190 0.254
Co7 0.750 0.810 0.746
Co8 0.250 0.690 0.246
Co9 0.250 0.953 0.092
Co10 0.750 0.547 0.592
Co11 0.250 0.453 0.408
Co12 0.750 0.047 0.908
Co13 0.998 0.432 0.191
Co14 0.002 0.068 0.691
Co15 0.502 0.932 0.309
Co16 0.498 0.568 0.809
Co17 0.002 0.568 0.809
Co18 0.998 0.932 0.309
Co19 0.498 0.068 0.691
Co20 0.502 0.432 0.191
```



3.
Mn2CoAu | PBE | optimized geometry

## Properties
Crystal system: monoclinic
Space group: No. 8
Polymorph energy (0 for the lowest one) in meV/atom: 133

Structure (CIF):
```
data_Mn2CoAu
_chemical_formula_sum 'Mn2 Co1 Au1'
_cell_length_a 4.952
_cell_length_b 4.952
_cell_length_c 4.057
_cell_angle_alpha 65.59
_cell_angle_beta 65.59
_cell_angle_gamma 39.92
_symmetry_space_group_name_H-M 'P 1'
_symmetry_Int_Tables_number 1
loop_
_symmetry_equiv_pos_as_xyz
'x,y,z'
loop_
_atom_site_label
_atom_site_fract_x
_atom_site_fract_y
_atom_site_fract_z
Au1 0.504 0.504 0.495
Co1 0.258 0.258 0.243
Mn1 0.989 0.989 0.010
Mn2 0.748 0.748 0.752
```



4.
SrTlGaHg | PBE | optimized geometry

## Properties
Crystal system: cubic
Space group: No. 216
E in eV per atom: -2.1161

Structure (CIF):
```
data_SrTlGaHg
_chemical_formula_sum 'Sr1 Tl1 Ga1 Hg1'
_cell_length_a 5.376
_cell_length_b 5.376
_cell_length_c 5.376
_cell_angle_alpha 60.00
_cell_angle_beta 60.00
_cell_angle_gamma 60.00
_symmetry_space_group_name_H-M 'P 1'
_symmetry_Int_Tables_number 1
loop_
_symmetry_equiv_pos_as_xyz
'x,y,z'
loop_
_atom_site_label
_atom_site_fract_x
_atom_site_fract_y
_atom_site_fract_z
Sr1 0.000 0.000 0.000
Tl1 0.500 0.500 0.500
Hg1 0.750 0.750 0.750
Ga1 0.250 0.250 0.250
```



5.
TiFeBr2 | PBE | optimized geometry

## Properties
Crystal system: trigonal
Formation energy from raw total energies in meV per atom: 186
Space group: No. 166
Polymorph energy (0 for the lowest one) in meV/atom: 191

Structure (CIF):
```
data_TiFeBr2
_chemical_formula_sum 'Ti1 Fe1 Br2'
_cell_length_a 8.723
_cell_length_b 8.723
_cell_length_c 8.723
_cell_angle_alpha 22.67
_cell_angle_beta 22.67
_cell_angle_gamma 22.67
_symmetry_space_group_name_H-M 'P 1'
_symmetry_Int_Tables_number 1
loop_
_symmetry_equiv_pos_as_xyz
'x,y,z'
loop_
_atom_site_label
_atom_site_fract_x
_atom_site_fract_y
_atom_site_fract_z
Fe1 0.500 0.500 0.500
Br1 0.899 0.899 0.899
Br2 0.101 0.101 0.101
Ti1 0.000 0.000 0.000
```



6.
ZrP2Ru | PBE | optimized geometry

## Properties
Crystal system: orthorhombic
Space group: No. 71
Polymorph energy (0 for the lowest one) in meV/atom: 228

Structure (CIF):
```
data_ZrP2Ru
_chemical_formula_sum 'Zr1 P2 Ru1'
_cell_length_a 4.510
_cell_length_b 4.510
_cell_length_c 4.510
_cell_angle_alpha 128.75
_cell_angle_beta 112.51
_cell_angle_gamma 89.50
_symmetry_space_group_name_H-M 'P 1'
_symmetry_Int_Tables_number 1
loop_
_symmetry_equiv_pos_as_xyz
'x,y,z'
loop_
_atom_site_label
_atom_site_fract_x
_atom_site_fract_y
_atom_site_fract_z
P1 0.960 0.960 0.000
P2 0.540 0.540 0.000
Ru1 0.750 0.250 0.500
Zr1 0.250 0.750 0.500
```



7.
AgHgPt | PBE | optimized geometry

## Properties
Crystal system: cubic
Space group: No. 216
Polymorph energy (0 for the lowest one) in meV/atom: 132

Structure (CIF):
```
data_AgHgPt
_chemical_formula_sum 'Ag1 Hg1 Pt1'
_cell_length_a 4.523
_cell_length_b 4.523
_cell_length_c 4.523
_cell_angle_alpha 60.00
_cell_angle_beta 60.00
_cell_angle_gamma 60.00
_symmetry_space_group_name_H-M 'P 1'
_symmetry_Int_Tables_number 1
loop_
_symmetry_equiv_pos_as_xyz
'x,y,z'
loop_
_atom_site_label
_atom_site_fract_x
_atom_site_fract_y
_atom_site_fract_z
Ag1 0.000 0.000 0.000
Hg1 0.500 0.500 0.500
Pt1 0.250 0.250 0.250
```



DOS at the Fermi energy (states/eV/f.u.)
1.884 9.154 2.095 1.377 5.631 2.917 0.722
M_tot (μB/atom)
0.00 0.31 2.23 0.00 1.14 0.00 0.00